VASP calculation (PBE+U) on a relaxed K3Nd2MoO6 crystal.

Unit cell a=6.110 b=6.110 c=6.582 alpha=98.85 beta=98.85 gamma=120.00
Last column: magnetic moment on the atom in μB.
Fractional positions:
1 K 0.161 0.839 0.500  0.00
2 K 0.839 0.161 0.500  0.00
3 K 0.500 0.500 0.500  0.00
4 Nd 0.333 0.667 0.000  0.00
5 Nd 0.667 0.333 0.000  0.00
6 Mo 0.000 0.000 0.000  2.70
7 O 0.937 0.622 0.811  0.02
8 O 0.747 0.747 0.188  0.02
9 O 0.063 0.378 0.189  0.02
10 O 0.622 0.937 0.811  0.02
11 O 0.253 0.253 0.812  0.02
12 O 0.378 0.063 0.189  0.02

Properties
total magnetic moment	3.0	μB/f.u.
DOS(E_F)	0.00	states/eV/cell
crystal system	monoclinic
symmetry	C2/m (12)
mass density	4.902	g cm⁻³
uncorrected energy	-6.394	eV/atom
calculated volume	16.874	Å³/atom